Record 1
First-principles (PBE) data for a relaxed Pm3ScS4 crystal, as listed in Alexandria via LeMat-Bulk.

Results
E_form (uncorrected)	-1.96	eV per atom
energy above the lowest structure with this stoichiometry	15	meV/atom

a = 7.997 Å, b = 11.198 Å, c = 3.914 Å
α = 90.00°, β = 90.00°, γ = 90.00°
Space group Cmmm (No. 65)
Asymmetric unit:
Pm 0.000 0.000 0.000 (multiplicity 2)
Pm 0.250 0.250 0.500 (multiplicity 4)
Sc 0.000 0.500 0.000 (multiplicity 2)
S 0.000 0.260 0.000 (multiplicity 4)
S 0.231 0.500 0.500 (multiplicity 4)

Record 2
First-principles (PBE) data for a relaxed Te2AsW crystal, as listed in Alexandria via LeMat-Bulk.

Results
E_form (uncorrected)	0.40	eV per atom

a = 3.4339 Å, b = 3.4339 Å, c = 26.7294 Å
α = 90.00°, β = 90.00°, γ = 120.00°
Space group R-3m (No. 166, hexagonal axes)
Asymmetric unit:
Te 0.0000 0.0000 0.2385 (multiplicity 6)
As 0.0000 0.0000 0.0000 (multiplicity 3)
W 0.0000 0.0000 0.5000 (multiplicity 3)

Record 3
First-principles (PBE) data for a relaxed Ba5Mg3 crystal, as listed in Alexandria via LeMat-Bulk.

Results
formation energy	0.017	eV/atom
energy above the lowest structure with this stoichiometry	55	meV/atom

a = 7.270 Å, b = 20.544 Å, c = 20.570 Å
α = 90.00°, β = 90.00°, γ = 90.00°
Space group Fmmm (No. 69)
Asymmetric unit:
Ba 0.000 0.101 0.183 (multiplicity 16)
Ba 0.000 0.183 0.399 (multiplicity 16)
Ba 0.249 0.000 0.500 (multiplicity 8)
Mg 0.000 0.000 0.338 (multiplicity 8)
Mg 0.000 0.162 0.000 (multiplicity 8)
Mg 0.250 0.250 0.250 (multiplicity 8)

Record 4
First-principles (PBE) data for a relaxed Pr2PuHg6 crystal, as listed in Alexandria via LeMat-Bulk.

Results
formation energy	-0.346	eV/atom

a = 8.8442 Å, b = 8.8442 Å, c = 3.3919 Å
α = 90.00°, β = 90.00°, γ = 120.00°
Space group P6/mmm (No. 191)
Asymmetric unit:
Pr 0.3333 0.6667 0.0000 (multiplicity 2)
Pu 0.0000 0.0000 0.0000 (multiplicity 1)
Hg 0.0000 0.3323 0.5000 (multiplicity 6)

Record 5
First-principles (PBE) data for a relaxed Sn2Pb crystal, as listed in Alexandria via LeMat-Bulk.

Results
formation energy	0.039	eV/atom
energy above the lowest structure with this stoichiometry	0	meV/atom

a = 3.4838 Å, b = 3.4838 Å, c = 8.3357 Å
α = 90.00°, β = 90.00°, γ = 120.00°
Space group P-3m1 (No. 164)
Asymmetric unit:
Sn 0.3333 0.6667 0.3425 (multiplicity 2)
Pb 0.0000 0.0000 0.0000 (multiplicity 1)

Record 6
First-principles (PBE) data for a relaxed TbPrYHg crystal, as listed in Alexandria via LeMat-Bulk.

Results
formation energy	-0.060	eV/atom
energy above the lowest structure with this stoichiometry	181	meV/atom

a = 7.772 Å, b = 7.772 Å, c = 7.772 Å
α = 90.00°, β = 90.00°, γ = 90.00°
Space group F-43m (No. 216)
Asymmetric unit:
Tb 0.000 0.000 0.000 (multiplicity 4)
Pr 0.250 0.250 0.750 (multiplicity 4)
Y 0.250 0.250 0.250 (multiplicity 4)
Hg 0.000 0.000 0.500 (multiplicity 4)

Record 7
First-principles (PBE) data for a relaxed K12Hg2Au5 crystal, as listed in Alexandria via LeMat-Bulk.

Results
formation energy	-0.182	eV/atom

a = 14.176 Å, b = 11.147 Å, c = 9.627 Å
α = 90.00°, β = 100.09°, γ = 90.00°
Space group C2/m (No. 12)
Asymmetric unit:
K 0.080 0.000 0.181 (multiplicity 4)
K 0.112 0.292 0.397 (multiplicity 8)
K 0.124 0.500 0.791 (multiplicity 4)
K 0.189 0.160 0.803 (multiplicity 8)
Hg 0.000 0.281 0.000 (multiplicity 4)
Au 0.000 0.000 0.500 (multiplicity 2)
Au 0.100 0.500 0.125 (multiplicity 4)
Au 0.205 0.000 0.493 (multiplicity 4)

Record 8
First-principles (PBE) data for a relaxed K3DyHo3Te8 crystal, as listed in Alexandria via LeMat-Bulk.

Results
E_form (uncorrected)	-1.32	eV per atom

a = 8.7562 Å, b = 8.7562 Å, c = 25.5165 Å
α = 90.00°, β = 90.00°, γ = 120.00°
Space group R-3m (No. 166, hexagonal axes)
Asymmetric unit:
K 0.0000 0.5000 0.0000 (multiplicity 9)
Dy 0.0000 0.0000 0.5000 (multiplicity 3)
Ho 0.0000 0.5000 0.5000 (multiplicity 9)
Te 0.0000 0.0000 0.2360 (multiplicity 6)
Te 0.0032 0.5016 0.7641 (multiplicity 18)

Record 9
First-principles (PBE) data for a relaxed MnCuSiP crystal, as listed in Alexandria via LeMat-Bulk.

Results
E_form (uncorrected)	-0.17	eV per atom
energy above the lowest structure with this stoichiometry	0	meV/atom

a = 2.7854 Å, b = 2.7854 Å, c = 22.8169 Å
α = 90.00°, β = 90.00°, γ = 120.00°
Space group R3m (No. 160, hexagonal axes)
Asymmetric unit:
Mn 0.0000 0.0000 0.0000 (multiplicity 3)
Cu 0.0000 0.0000 0.5017 (multiplicity 3)
Si 0.0000 0.0000 0.2532 (multiplicity 3)
P 0.0000 0.0000 0.4013 (multiplicity 3)

Record 10
First-principles (PBE) data for a relaxed Pm12Nd2Ho5 crystal, as listed in Alexandria via LeMat-Bulk.

Results
formation energy	0.127	eV/atom
energy above the lowest structure with this stoichiometry	0	meV/atom

a = 16.078 Å, b = 10.046 Å, c = 8.029 Å
α = 90.00°, β = 90.87°, γ = 90.00°
Space group C2/m (No. 12)
Asymmetric unit:
Pm 0.051 0.000 0.211 (multiplicity 4)
Pm 0.106 0.226 0.888 (multiplicity 8)
Pm 0.160 0.500 0.624 (multiplicity 4)
Pm 0.191 0.270 0.292 (multiplicity 8)
Nd 0.000 0.276 0.500 (multiplicity 4)
Ho 0.000 0.500 0.000 (multiplicity 2)
Ho 0.147 0.000 0.582 (multiplicity 4)
Ho 0.247 0.500 0.989 (multiplicity 4)

no.,energy (Ry/atom)
1,-0.485
2,-0.409
3,-0.131
4,-0.235
5,-0.284
6,-0.302
7,-0.130
8,-0.326
9,-0.455
10,-0.337